A plane-wave DFT calculation with PBE was carried out for crystalline PtPb8Au2 at its relaxed geometry. Values from VASP.

Structure (Quantum ESPRESSO input):
```
&SYSTEM
  ibrav = 0, nat = 11, ntyp = 3
/
ATOMIC_SPECIES
Pt 195.08 Pt.upf
Pb 207.20 Pb.upf
Au 196.97 Au.upf
ATOMIC_POSITIONS crystal
Pt 0.500 0.000 0.000
Pb 0.402 0.440 0.804
Pb 0.660 0.002 0.320
Pb 0.792 0.653 0.584
Pb 0.008 0.222 0.016
Pb 0.208 0.347 0.416
Pb 0.340 0.998 0.680
Pb 0.598 0.560 0.196
Pb 0.992 0.778 0.984
Au 0.816 0.244 0.632
Au 0.184 0.756 0.368
CELL_PARAMETERS angstrom
4.461 0.000 0.000
0.000 7.842 1.058
-2.230 -2.005 8.548
```

Output
E_tot: -3.913 eV per atom
Crystal system: monoclinic
V: 308.46 Å³/cell
Energy of formation: -0.071 eV/atom
SG: C2/m, No. 12